Computed, not measured: CoI2F2 after structural relaxation at the PBE with a Hubbard U level of DFT.

The structure belongs to space group P4/mbm (No. 127); the cell edges are 7.1024, 7.1024 and 4.2749 Å and the angles 90.00°, 90.00° and 90.00°. Symmetry generates all atoms from Co at (0.0000, 0.0000, 0.0000), I at (0.1541, 0.3459, 0.0000) and F at (0.1837, 0.6837, 0.5000).

The offset from the most stable computed form comes out at 3 meV/atom. The calculation puts the magnetization at 1.2 μB per formula unit.